CsCr2NiIr: optimized geometry, PBE.

Properties
ΔH_f (0 K) = 6.013 eV per formula unit
magnetic moment = 9.0 μB/f.u.

Cell lengths 4.9631, 4.9631, 4.6062 Å; angles 90.00, 90.00, 90.00 degrees
Space group P4/mmm (No. 123)
Symmetry-distinct sites (fractional):
1 Cs 0.0000 0.0000 0.0000 (multiplicity 1)
2 Cr 0.0000 0.5000 0.5000 (multiplicity 2)
3 Ni 0.5000 0.5000 0.5000 (multiplicity 1)
4 Ir 0.5000 0.5000 0.0000 (multiplicity 1)